# Fe3Pb

A relaxed Fe3Pb crystal (PBE-GGA, Alexandria via LeMat-Bulk).

a = 6.348 Å, b = 6.348 Å, c = 3.559 Å
α = 90.00°, β = 90.00°, γ = 103.73°
Fractional positions:
Fe: 0.924 0.076 0.750
Fe: 0.076 0.924 0.250
Fe: 0.018 0.654 0.750
Fe: 0.982 0.346 0.250
Fe: 0.346 0.982 0.750
Fe: 0.654 0.018 0.250
Pb: 0.365 0.635 0.250
Pb: 0.635 0.365 0.750

Results
- Energy of formation: 599.7 meV/atom
- Space group: Cmcm, No. 63
- Total moment: 14.0 μB/cell